# 1
Compound: TmZr4Ni2
Source: Alexandria
Functional: PBE
Structure: optimized geometry

Cell: 7.573 7.573 4.517 Å, 90.00 90.00 145.30°
Fractional coordinates of all 7 atoms:
1 Tm 0.000 0.000 0.000
2 Zr 0.177 0.823 0.500
3 Zr 0.325 0.675 0.000
4 Zr 0.675 0.325 0.000
5 Zr 0.823 0.177 0.500
6 Ni 0.421 0.579 0.500
7 Ni 0.579 0.421 0.500

Calculated values
size of the total moment: 0.000 μB/atom
ΔH_f (0 K): -182 meV per atom
Fermi-level density of states: 1.09 states/eV per atom
calculated density: 7.3 g cm⁻³

***

# 2
Compound: TmZrNi2
Source: Alexandria
Functional: PBE
Structure: optimized geometry

Cell: 3.453 4.241 5.180 Å, 90.00 109.27 90.00°
Fractional coordinates of all 4 atoms:
1 Tm 0.000 0.000 0.000
2 Zr 0.721 0.500 0.442
3 Ni 0.277 0.000 0.553
4 Ni 0.433 0.500 0.867

Calculated values
size of the total moment: 0.000 μB/atom
ΔH_f (0 K): -453 meV per atom
Fermi-level density of states: 0.57 states/eV per atom
calculated density: 8.8 g cm⁻³

***

# 3
Compound: U2Ni13
Source: Alexandria
Functional: PBE
Structure: optimized geometry

Cell: 6.698 6.698 6.698 Å, 56.49 56.49 56.49°
Fractional coordinates of all 15 atoms:
1 U 0.174 0.174 0.174
2 U 0.826 0.826 0.826
3 Ni 0.000 0.000 0.000
4 Ni 0.167 0.167 0.553
5 Ni 0.167 0.553 0.167
6 Ni 0.294 0.694 0.694
7 Ni 0.306 0.306 0.706
8 Ni 0.306 0.706 0.306
9 Ni 0.447 0.833 0.833
10 Ni 0.553 0.167 0.167
11 Ni 0.694 0.294 0.694
12 Ni 0.694 0.694 0.294
13 Ni 0.706 0.306 0.306
14 Ni 0.833 0.447 0.833
15 Ni 0.833 0.833 0.447

Calculated values
size of the total moment: 0.000 μB/atom
ΔH_f (0 K): 16 meV per atom
Fermi-level density of states: 0.74 states/eV per atom
calculated density: 10.5 g cm⁻³

***

# 4
Compound: UNi12
Source: Alexandria
Functional: PBE
Structure: optimized geometry

Cell: 6.219 6.219 6.219 Å, 98.18 98.18 135.67°
Fractional coordinates of all 13 atoms:
1 U 0.000 0.000 0.000
2 Ni 0.000 0.000 0.500
3 Ni 0.000 0.350 0.350
4 Ni 0.000 0.500 0.000
5 Ni 0.000 0.650 0.650
6 Ni 0.283 0.500 0.783
7 Ni 0.350 0.000 0.350
8 Ni 0.500 0.000 0.000
9 Ni 0.500 0.283 0.783
10 Ni 0.500 0.500 0.500
11 Ni 0.500 0.717 0.217
12 Ni 0.650 0.000 0.650
13 Ni 0.717 0.500 0.217

Calculated values
size of the total moment: 0.240 μB/atom
ΔH_f (0 K): -82 meV per atom
Fermi-level density of states: 1.44 states/eV per atom
calculated density: 10.1 g cm⁻³

***

# 5
Compound: UNi6
Source: Alexandria
Functional: PBE
Structure: optimized geometry

Cell: 7.811 4.772 9.641 Å, 90.00 90.00 90.00°
Fractional coordinates of all 28 atoms:
1 U 0.245 0.250 0.064
2 U 0.255 0.750 0.564
3 U 0.745 0.250 0.436
4 U 0.755 0.750 0.936
5 Ni 0.047 0.750 0.084
6 Ni 0.060 0.006 0.304
7 Ni 0.060 0.494 0.304
8 Ni 0.104 0.250 0.518
9 Ni 0.158 0.750 0.849
10 Ni 0.192 0.250 0.756
11 Ni 0.308 0.750 0.256
12 Ni 0.342 0.250 0.349
13 Ni 0.396 0.750 0.018
14 Ni 0.440 0.506 0.804
15 Ni 0.440 0.994 0.804
16 Ni 0.453 0.250 0.584
17 Ni 0.547 0.750 0.416
18 Ni 0.560 0.006 0.196
19 Ni 0.560 0.494 0.196
20 Ni 0.604 0.250 0.982
21 Ni 0.658 0.750 0.651
22 Ni 0.692 0.250 0.744
23 Ni 0.808 0.750 0.244
24 Ni 0.842 0.250 0.151
25 Ni 0.896 0.750 0.482
26 Ni 0.940 0.506 0.696
27 Ni 0.940 0.994 0.696
28 Ni 0.953 0.250 0.916

Calculated values
size of the total moment: 0.074 μB/atom
ΔH_f (0 K): -136 meV per atom
Fermi-level density of states: 1.49 states/eV per atom
calculated density: 10.9 g cm⁻³

***

# 6
Compound: U5Ni
Source: Alexandria
Functional: PBE
Structure: optimized geometry

Cell: 8.031 8.031 3.000 Å, 90.00 90.00 143.54°
Fractional coordinates of all 6 atoms:
1 U 0.000 0.000 0.000
2 U 0.158 0.842 0.500
3 U 0.332 0.668 0.000
4 U 0.668 0.332 0.000
5 U 0.842 0.158 0.500
6 Ni 0.500 0.500 0.500

Calculated values
size of the total moment: 0.000 μB/atom
ΔH_f (0 K): 107 meV per atom
Fermi-level density of states: 2.75 states/eV per atom
calculated density: 18.0 g cm⁻³

***

# 7
Compound: UNi5
Source: Alexandria
Functional: PBE
Structure: optimized geometry

Cell: 4.785 4.785 4.785 Å, 60.00 60.00 60.00°
Fractional coordinates of all 6 atoms:
1 U 0.000 0.000 0.000
2 Ni 0.376 0.376 0.376
3 Ni 0.376 0.376 0.873
4 Ni 0.376 0.873 0.376
5 Ni 0.750 0.750 0.750
6 Ni 0.873 0.376 0.376

Calculated values
size of the total moment: 0.000 μB/atom
ΔH_f (0 K): -262 meV per atom
Fermi-level density of states: 0.42 states/eV per atom
calculated density: 11.4 g cm⁻³

***

# 8
Compound: UNi6
Source: Alexandria
Functional: PBE
Structure: optimized geometry

Cell: 5.290 5.290 5.290 Å, 90.00 90.00 90.00°
Fractional coordinates of all 7 atoms:
1 U 0.000 0.000 0.000
2 Ni 0.197 0.500 0.500
3 Ni 0.500 0.197 0.500
4 Ni 0.500 0.500 0.197
5 Ni 0.500 0.500 0.803
6 Ni 0.500 0.803 0.500
7 Ni 0.803 0.500 0.500

Calculated values
size of the total moment: 0.144 μB/atom
ΔH_f (0 K): 1144 meV per atom
Fermi-level density of states: 1.55 states/eV per atom
calculated density: 6.6 g cm⁻³

***

# 9
Compound: U2Ni17
Source: Alexandria
Functional: PBE
Structure: optimized geometry

Cell: 6.211 6.211 6.211 Å, 82.66 82.66 82.66°
Fractional coordinates of all 19 atoms:
1 U 0.168 0.168 0.168
2 U 0.832 0.832 0.832
3 Ni 0.000 0.500 0.500
4 Ni 0.150 0.150 0.657
5 Ni 0.150 0.657 0.150
6 Ni 0.198 0.500 0.802
7 Ni 0.198 0.802 0.500
8 Ni 0.343 0.850 0.850
9 Ni 0.399 0.399 0.399
10 Ni 0.500 0.000 0.500
11 Ni 0.500 0.198 0.802
12 Ni 0.500 0.500 0.000
13 Ni 0.500 0.802 0.198
14 Ni 0.601 0.601 0.601
15 Ni 0.657 0.150 0.150
16 Ni 0.802 0.198 0.500
17 Ni 0.802 0.500 0.198
18 Ni 0.850 0.343 0.850
19 Ni 0.850 0.850 0.343

Calculated values
size of the total moment: 0.141 μB/atom
ΔH_f (0 K): -136 meV per atom
Fermi-level density of states: 1.30 states/eV per atom
calculated density: 10.5 g cm⁻³

***

# 10
Compound: U2Ni13
Source: Alexandria
Functional: PBE
Structure: optimized geometry

Cell: 7.165 7.165 7.165 Å, 54.41 54.41 54.41°
Fractional coordinates of all 15 atoms:
1 U 0.248 0.248 0.248
2 U 0.752 0.752 0.752
3 Ni 0.118 0.740 0.740
4 Ni 0.144 0.517 0.517
5 Ni 0.260 0.260 0.882
6 Ni 0.260 0.882 0.260
7 Ni 0.483 0.483 0.856
8 Ni 0.483 0.856 0.483
9 Ni 0.500 0.500 0.500
10 Ni 0.517 0.144 0.517
11 Ni 0.517 0.517 0.144
12 Ni 0.740 0.118 0.740
13 Ni 0.740 0.740 0.118
14 Ni 0.856 0.483 0.483
15 Ni 0.882 0.260 0.260

Calculated values
size of the total moment: 0.000 μB/atom
ΔH_f (0 K): 244 meV per atom
Fermi-level density of states: 0.74 states/eV per atom
calculated density: 9.1 g cm⁻³

***

no.,raw total energy (eV per atom)
1,-7.357
2,-6.599
3,-6.499
4,-6.287
5,-6.704
6,-10.264
7,-6.961
8,-5.424
9,-6.497
10,-6.271